Here is crystalline Rb2ScNbBr6 at its relaxed geometry from Alexandria. Energies are from PBE-GGA.

Summary:
The calculation puts the total energy at -4.066 eV/atom. The uncorrected formation energy is -1.23 eV/atom.

The structure in POSCAR format:
```
Rb2ScNbBr6
1.0
0.0000 5.4322 5.4322
5.4322 0.0000 5.4322
5.4322 5.4322 0.0000
Rb Sc Nb Br
2 1 1 6
direct
0.2500 0.2500 0.2500 Rb
0.7500 0.7500 0.7500 Rb
0.0000 0.0000 0.0000 Sc
0.5000 0.5000 0.5000 Nb
0.2498 0.2498 0.7502 Br
0.2498 0.7502 0.2498 Br
0.2498 0.7502 0.7502 Br
0.7502 0.2498 0.2498 Br
0.7502 0.2498 0.7502 Br
0.7502 0.7502 0.2498 Br
```